## CaPrTeSe (GGA-PBE)

Data for a relaxed structure of CaPrTeSe.

Output
As for the formation energy (no corrections): -1.70 eV/atom. Its total energy is -20.22 eV/cell.

Geometry as CIF:
```
data_CaPrTeSe
_symmetry_space_group_name_H-M 'P 1'
_symmetry_Int_Tables_number 1
_cell_length_a 7.733
_cell_length_b 7.733
_cell_length_c 7.733
_cell_angle_alpha 32.48
_cell_angle_beta 32.48
_cell_angle_gamma 32.48
loop_
_symmetry_equiv_pos_as_xyz
'x,y,z'
loop_
_atom_site_label
_atom_site_type_symbol
_atom_site_fract_x
_atom_site_fract_y
_atom_site_fract_z
Ca1 Ca 0.000 0.000 0.000
Pr1 Pr 0.513 0.513 0.513
Te1 Te 0.755 0.755 0.755
Se1 Se 0.260 0.260 0.260
```